Entry from Alexandria via LeMat-Bulk: an optimized crystal structure of TmTiTlCu (PBE).

Cell and atoms, written as POSCAR:
```
TmTiTlCu
1.0
6.9066 0.0000 0.0000
0.0000 6.9066 0.0000
0.0000 0.0000 6.9066
Tm Ti Tl Cu
4 4 4 4
Direct
0.0000 0.0000 0.0000 Tm
0.0000 0.5000 0.5000 Tm
0.5000 0.0000 0.5000 Tm
0.5000 0.5000 0.0000 Tm
0.0000 0.0000 0.5000 Ti
0.0000 0.5000 0.0000 Ti
0.5000 0.0000 0.0000 Ti
0.5000 0.5000 0.5000 Ti
0.2500 0.2500 0.2500 Tl
0.2500 0.7500 0.7500 Tl
0.7500 0.2500 0.7500 Tl
0.7500 0.7500 0.2500 Tl
0.2500 0.2500 0.7500 Cu
0.2500 0.7500 0.2500 Cu
0.7500 0.2500 0.2500 Cu
0.7500 0.7500 0.7500 Cu
```

Values from the calculation:
The space group is F-43m. For the formation energy, the calculation gives 0.0 eV/f.u. As for the total magnetization: 5.479 μB per cell. The calculation puts the calculated total energy at -75.4 eV for the cell shown.

Entry from Alexandria via LeMat-Bulk: an optimized crystal structure of ZrTiTlCu (PBE).

Cell and atoms, written as POSCAR:
```
ZrTiTlCu
1.0
6.7268 0.0000 0.0000
0.0000 6.7268 0.0000
0.0000 0.0000 6.7268
Zr Ti Tl Cu
4 4 4 4
Direct
0.0000 0.0000 0.0000 Zr
0.0000 0.5000 0.5000 Zr
0.5000 0.0000 0.5000 Zr
0.5000 0.5000 0.0000 Zr
0.0000 0.0000 0.5000 Ti
0.0000 0.5000 0.0000 Ti
0.5000 0.0000 0.0000 Ti
0.5000 0.5000 0.5000 Ti
0.2500 0.2500 0.2500 Tl
0.2500 0.7500 0.7500 Tl
0.7500 0.2500 0.7500 Tl
0.7500 0.7500 0.2500 Tl
0.2500 0.2500 0.7500 Cu
0.2500 0.7500 0.2500 Cu
0.7500 0.2500 0.2500 Cu
0.7500 0.7500 0.7500 Cu
```

Values from the calculation:
The space group is F-43m. For the formation energy, the calculation gives 0.3 eV/f.u. As for the total magnetization: 0.001 μB per cell. The calculation puts the calculated total energy at -90.6 eV for the cell shown.

Entry from Alexandria via LeMat-Bulk: an optimized crystal structure of TmTiCu4 (PBE).

Cell and atoms, written as POSCAR:
```
TmTiCu4
1.0
0.0000 3.5739 3.5739
3.5739 0.0000 3.5739
3.5739 3.5739 0.0000
Tm Ti Cu
1 1 4
Direct
0.0000 0.0000 0.0000 Tm
0.2500 0.2500 0.2500 Ti
0.1280 0.6240 0.6240 Cu
0.6240 0.1280 0.6240 Cu
0.6240 0.6240 0.1280 Cu
0.6240 0.6240 0.6240 Cu
```

Values from the calculation:
The space group is F-43m. For the formation energy, the calculation gives -0.4 eV/f.u. As for the total magnetization: 0.839 μB per cell. The calculation puts the calculated total energy at -29.2 eV for the cell shown.

Entry from Alexandria via LeMat-Bulk: an optimized crystal structure of TmTiCu (PBE).

Cell and atoms, written as POSCAR:
```
TmTiCu
1.0
12.2737 0.0000 0.0000
0.0000 3.4015 0.0000
0.0000 0.0000 5.8800
Tm Ti Cu
4 4 4
Direct
0.1700 0.0000 0.0000 Tm
0.1700 0.5000 0.5000 Tm
0.8300 0.0000 0.0000 Tm
0.8300 0.5000 0.5000 Tm
0.3659 0.0000 0.3333 Ti
0.3659 0.5000 0.8333 Ti
0.6341 0.0000 0.3333 Ti
0.6341 0.5000 0.8333 Ti
0.0000 0.0000 0.3346 Cu
0.0000 0.5000 0.8346 Cu
0.5000 0.0000 0.9994 Cu
0.5000 0.5000 0.4994 Cu
```

Values from the calculation:
The space group is Amm2. For the formation energy, the calculation gives 0.6 eV/f.u. As for the total magnetization: 0.000 μB per cell. The calculation puts the calculated total energy at -63.5 eV for the cell shown.

Entry from Alexandria via LeMat-Bulk: an optimized crystal structure of TmTiZnCu (PBE).

Cell and atoms, written as POSCAR:
```
TmTiZnCu
1.0
6.6130 0.0000 0.0000
0.0000 6.6130 0.0000
0.0000 0.0000 6.6130
Tm Ti Zn Cu
4 4 4 4
Direct
0.0000 0.0000 0.0000 Tm
0.0000 0.5000 0.5000 Tm
0.5000 0.0000 0.5000 Tm
0.5000 0.5000 0.0000 Tm
0.0000 0.0000 0.5000 Ti
0.0000 0.5000 0.0000 Ti
0.5000 0.0000 0.0000 Ti
0.5000 0.5000 0.5000 Ti
0.2500 0.2500 0.2500 Zn
0.2500 0.7500 0.7500 Zn
0.7500 0.2500 0.7500 Zn
0.7500 0.7500 0.2500 Zn
0.2500 0.2500 0.7500 Cu
0.2500 0.7500 0.2500 Cu
0.7500 0.2500 0.2500 Cu
0.7500 0.7500 0.7500 Cu
```

Values from the calculation:
The space group is F-43m. For the formation energy, the calculation gives -0.5 eV/f.u. As for the total magnetization: 5.611 μB per cell. The calculation puts the calculated total energy at -72.8 eV for the cell shown.

Entry from Alexandria via LeMat-Bulk: an optimized crystal structure of Tm2TiZn12Cu3 (PBE).

Cell and atoms, written as POSCAR:
```
Tm2TiZn12Cu3
1.0
3.7455 2.1625 6.9372
-3.7455 2.1625 6.9372
0.0000 -4.3250 6.9372
Tm Ti Zn Cu
2 1 12 3
Direct
0.0837 0.0837 0.0837 Tm
0.9163 0.9163 0.9163 Tm
0.5000 0.5000 0.5000 Ti
0.0396 0.6713 0.6713 Zn
0.2769 0.2769 0.6434 Zn
0.2769 0.6434 0.2769 Zn
0.3287 0.3287 0.9604 Zn
0.3287 0.9604 0.3287 Zn
0.3566 0.7231 0.7231 Zn
0.6434 0.2769 0.2769 Zn
0.6713 0.0396 0.6713 Zn
0.6713 0.6713 0.0396 Zn
0.7231 0.3566 0.7231 Zn
0.7231 0.7231 0.3566 Zn
0.9604 0.3287 0.3287 Zn
0.0000 0.5000 0.5000 Cu
0.5000 0.0000 0.5000 Cu
0.5000 0.5000 0.0000 Cu
```

Values from the calculation:
The space group is R-3m. For the formation energy, the calculation gives 3.3 eV/f.u. As for the total magnetization: 0.000 μB per cell. The calculation puts the calculated total energy at -41.1 eV for the cell shown.

Entry from Alexandria via LeMat-Bulk: an optimized crystal structure of UTi2Cu (PBE).

Cell and atoms, written as POSCAR:
```
UTi2Cu
1.0
3.2811 0.0000 0.0000
0.0000 3.2811 0.0000
0.0000 0.0000 6.2245
U Ti Cu
1 2 1
Direct
0.0000 0.0000 0.0000 U
0.5000 0.5000 0.2550 Ti
0.5000 0.5000 0.7450 Ti
0.0000 0.0000 0.5000 Cu
```

Values from the calculation:
The space group is P4/mmm. For the formation energy, the calculation gives 0.7 eV/f.u. As for the total magnetization: 1.493 μB per cell. The calculation puts the calculated total energy at -30.4 eV for the cell shown.

Entry from Alexandria via LeMat-Bulk: an optimized crystal structure of UTiCu (PBE).

Cell and atoms, written as POSCAR:
```
UTiCu
1.0
3.7704 0.0000 0.0000
0.0000 3.7704 0.0000
0.0000 0.0000 7.4275
U Ti Cu
2 2 2
Direct
0.2500 0.7500 0.0000 U
0.7500 0.2500 0.0000 U
0.2500 0.2500 0.3780 Ti
0.7500 0.7500 0.6220 Ti
0.2500 0.2500 0.7023 Cu
0.7500 0.7500 0.2977 Cu
```

Values from the calculation:
The space group is P4/nmm. For the formation energy, the calculation gives 0.9 eV/f.u. As for the total magnetization: 1.909 μB per cell. The calculation puts the calculated total energy at -44.8 eV for the cell shown.

Entry from Alexandria via LeMat-Bulk: an optimized crystal structure of UTi2Cu (PBE).

Cell and atoms, written as POSCAR:
```
UTi2Cu
1.0
4.7349 0.0000 0.0000
0.0000 4.7349 0.0000
0.0000 0.0000 2.9704
U Ti Cu
1 2 1
Direct
0.0000 0.0000 0.0000 U
0.0000 0.5000 0.5000 Ti
0.5000 0.0000 0.5000 Ti
0.5000 0.5000 0.0000 Cu
```

Values from the calculation:
The space group is P4/mmm. For the formation energy, the calculation gives 0.6 eV/f.u. As for the total magnetization: 1.167 μB per cell. The calculation puts the calculated total energy at -30.6 eV for the cell shown.

Entry from Alexandria via LeMat-Bulk: an optimized crystal structure of UTi2Cu (PBE).

Cell and atoms, written as POSCAR:
```
UTi2Cu
1.0
6.4285 0.0000 0.0000
0.0000 6.4285 0.0000
0.0000 0.0000 6.4285
U Ti Cu
4 8 4
Direct
0.0000 0.0000 0.0000 U
0.0000 0.5000 0.5000 U
0.5000 0.0000 0.5000 U
0.5000 0.5000 0.0000 U
0.2500 0.2500 0.2500 Ti
0.2500 0.2500 0.7500 Ti
0.2500 0.7500 0.2500 Ti
0.2500 0.7500 0.7500 Ti
0.7500 0.2500 0.2500 Ti
0.7500 0.2500 0.7500 Ti
0.7500 0.7500 0.2500 Ti
0.7500 0.7500 0.7500 Ti
0.0000 0.0000 0.5000 Cu
0.0000 0.5000 0.0000 Cu
0.5000 0.0000 0.0000 Cu
0.5000 0.5000 0.5000 Cu
```

Values from the calculation:
The space group is Fm-3m. For the formation energy, the calculation gives 1.1 eV/f.u. As for the total magnetization: 12.520 μB per cell. The calculation puts the calculated total energy at -120.2 eV for the cell shown.

Entry from Alexandria via LeMat-Bulk: an optimized crystal structure of UTi2Cu (PBE).

Cell and atoms, written as POSCAR:
```
UTi2Cu
1.0
2.7968 0.0000 0.0000
-1.3984 2.4221 0.0000
0.0000 0.0000 29.8862
U Ti Cu
3 6 3
Direct
0.0000 0.0000 0.0000 U
0.3333 0.6667 0.6667 U
0.6667 0.3333 0.3333 U
0.0000 0.0000 0.0935 Ti
0.0000 0.0000 0.9065 Ti
0.3333 0.6667 0.5731 Ti
0.3333 0.6667 0.7602 Ti
0.6667 0.3333 0.2398 Ti
0.6667 0.3333 0.4269 Ti
0.0000 0.0000 0.5000 Cu
0.3333 0.6667 0.1667 Cu
0.6667 0.3333 0.8333 Cu
```

Values from the calculation:
The space group is R-3m. For the formation energy, the calculation gives 1.2 eV/f.u. As for the total magnetization: 0.002 μB per cell. The calculation puts the calculated total energy at -89.8 eV for the cell shown.

Entry from Alexandria via LeMat-Bulk: an optimized crystal structure of TiV3Cu (PBE).

Cell and atoms, written as POSCAR:
```
TiV3Cu
1.0
4.3817 0.0000 0.0000
0.0000 4.3817 0.0000
0.0000 0.0000 4.3817
Ti V Cu
1 3 1
Direct
0.0000 0.0000 0.0000 Ti
0.0000 0.0000 0.5000 V
0.0000 0.5000 0.0000 V
0.5000 0.0000 0.0000 V
0.5000 0.5000 0.5000 Cu
```

Values from the calculation:
The space group is Pm-3m. For the formation energy, the calculation gives 6.8 eV/f.u. As for the total magnetization: 2.434 μB per cell. The calculation puts the calculated total energy at -32.5 eV for the cell shown.

Volume values (in Å³/f.u.) by entry order: 82.4, 76.1, 91.3, 61.4, 72.3, 337.1, 67.0, 52.8, 66.6, 66.4, 67.5, 84.1.